# RbTi3Se3 | Alexandria | PBE | relaxed
data_RbTi3Se3
_chemical_formula_sum 'Rb2 Ti6 Se6'
_symmetry_space_group_name_H-M 'P 63/m'
_symmetry_Int_Tables_number 176
_symmetry_space_group_name_Hall '-P 6c'
_cell_length_a 9.5951
_cell_length_b 9.5951
_cell_length_c 4.6504
_cell_angle_alpha 90.00
_cell_angle_beta 90.00
_cell_angle_gamma 120.00
loop_
_atom_site_label
_atom_site_type_symbol
_atom_site_fract_x
_atom_site_fract_y
_atom_site_fract_z
Rb1 Rb 0.3333 0.6667 0.2500
Ti1 Ti 0.0294 0.1914 0.2500
Se1 Se 0.0532 0.3401 0.7500
# DOS at the Fermi energy = 2.82 states/eV/f.u.
# Energy relative to the elements, uncorrected = -96.76 kJ per mole of atoms
# ρ = 4.17 g cm⁻³
# DFT total energy = -6.02 eV per atom

# Rb5Ti2Se6 | Alexandria | PBE | relaxed
data_Rb5Ti2Se6
_chemical_formula_sum 'Rb20 Ti8 Se24'
_symmetry_space_group_name_H-M 'C 1 2/c 1'
_symmetry_Int_Tables_number 15
_cell_length_a 13.525
_cell_length_b 8.630
_cell_length_c 17.861
_cell_angle_alpha 90.00
_cell_angle_beta 102.07
_cell_angle_gamma 90.00
loop_
_symmetry_equiv_pos_as_xyz
'x,y,z'
'-x,-y,-z'
'-x,y,-z+1/2'
'x,-y,z+1/2'
'x+1/2,y+1/2,z'
'-x+1/2,-y+1/2,-z'
'-x+1/2,y+1/2,-z+1/2'
'x+1/2,-y+1/2,z+1/2'
loop_
_atom_site_label
_atom_site_type_symbol
_atom_site_fract_x
_atom_site_fract_y
_atom_site_fract_z
Rb1 Rb 0.000 0.132 0.250
Rb2 Rb 0.055 0.239 0.998
Rb3 Rb 0.159 0.403 0.725
Ti1 Ti 0.228 0.360 0.430
Se1 Se 0.063 0.453 0.374
Se2 Se 0.146 0.048 0.637
Se3 Se 0.223 0.071 0.433
# Energy relative to the elements, uncorrected = -122.05 kJ per mole of atoms
# ρ = 3.25 g cm⁻³
# DFT total energy = -4.46 eV per atom

# RbTiSe2 | Alexandria | PBE | relaxed
data_RbTiSe2
_chemical_formula_sum 'Rb4 Ti4 Se8'
_symmetry_space_group_name_H-M 'C 1 2/c 1'
_symmetry_Int_Tables_number 15
_cell_length_a 7.764
_cell_length_b 12.499
_cell_length_c 6.120
_cell_angle_alpha 90.00
_cell_angle_beta 113.69
_cell_angle_gamma 90.00
loop_
_symmetry_equiv_pos_as_xyz
'x,y,z'
'-x,-y,-z'
'-x,y,-z+1/2'
'x,-y,z+1/2'
'x+1/2,y+1/2,z'
'-x+1/2,-y+1/2,-z'
'-x+1/2,y+1/2,-z+1/2'
'x+1/2,-y+1/2,z+1/2'
loop_
_atom_site_label
_atom_site_type_symbol
_atom_site_fract_x
_atom_site_fract_y
_atom_site_fract_z
Rb1 Rb 0.000 0.145 0.250
Ti1 Ti 0.000 0.496 0.750
Se1 Se 0.198 0.393 0.109
# DOS at the Fermi energy = 0.29 states/eV/f.u.
# Energy relative to the elements, uncorrected = -116.66 kJ per mole of atoms
# ρ = 3.56 g cm⁻³
# DFT total energy = -5.17 eV per atom

# Rb4TiSe4 | Alexandria | PBE | relaxed
data_Rb4TiSe4
_chemical_formula_sum 'Rb8 Ti2 Se8'
_symmetry_space_group_name_H-M 'I -4 2 m'
_symmetry_Int_Tables_number 121
_symmetry_space_group_name_Hall 'I -4 2'
_cell_length_a 8.069
_cell_length_b 8.069
_cell_length_c 13.590
_cell_angle_alpha 90.00
_cell_angle_beta 90.00
_cell_angle_gamma 90.00
loop_
_atom_site_label
_atom_site_type_symbol
_atom_site_fract_x
_atom_site_fract_y
_atom_site_fract_z
Rb1 Rb 0.000 0.000 0.199
Rb2 Rb 0.000 0.500 0.000
Ti1 Ti 0.000 0.000 0.500
Se1 Se 0.173 0.173 0.604
# DOS at the Fermi energy = 0.00 states/eV/f.u.
# Energy relative to the elements, uncorrected = -112.65 kJ per mole of atoms
# ρ = 2.65 g cm⁻³
# DFT total energy = -4.02 eV per atom

# Rb2Ti3Se8 | Alexandria | PBE | relaxed
data_Rb2Ti3Se8
_chemical_formula_sum 'Rb4 Ti6 Se16'
_symmetry_space_group_name_H-M 'C 1 2/m 1'
_symmetry_Int_Tables_number 12
_cell_length_a 17.611
_cell_length_b 7.305
_cell_length_c 6.276
_cell_angle_alpha 90.00
_cell_angle_beta 105.04
_cell_angle_gamma 90.00
loop_
_symmetry_equiv_pos_as_xyz
'x,y,z'
'-x,-y,-z'
'-x,y,-z'
'x,-y,z'
'x+1/2,y+1/2,z'
'-x+1/2,-y+1/2,-z'
'-x+1/2,y+1/2,-z'
'x+1/2,-y+1/2,z'
loop_
_atom_site_label
_atom_site_type_symbol
_atom_site_fract_x
_atom_site_fract_y
_atom_site_fract_z
Rb1 Rb 0.245 0.000 0.189
Ti1 Ti 0.000 0.242 0.500
Ti2 Ti 0.000 0.500 0.000
Se1 Se 0.087 0.000 0.408
Se2 Se 0.089 0.267 0.889
Se3 Se 0.089 0.500 0.393
# DOS at the Fermi energy = 6.04 states/eV/f.u.
# Energy relative to the elements, uncorrected = -96.51 kJ per mole of atoms
# ρ = 4.03 g cm⁻³
# DFT total energy = -5.12 eV per atom

# Rb2TiSe2 | Alexandria | PBE | relaxed
data_Rb2TiSe2
_chemical_formula_sum 'Rb8 Ti4 Se8'
_symmetry_space_group_name_H-M 'I b a m'
_symmetry_Int_Tables_number 72
_symmetry_space_group_name_Hall '-I 2 2c'
_cell_length_a 7.629
_cell_length_b 13.876
_cell_length_c 6.362
_cell_angle_alpha 90.00
_cell_angle_beta 90.00
_cell_angle_gamma 90.00
loop_
_atom_site_label
_atom_site_type_symbol
_atom_site_fract_x
_atom_site_fract_y
_atom_site_fract_z
Rb1 Rb 0.156 0.150 0.000
Ti1 Ti 0.000 0.500 0.250
Se1 Se 0.187 0.401 0.000
# DOS at the Fermi energy = 3.45 states/eV/f.u.
# Energy relative to the elements, uncorrected = -97.64 kJ per mole of atoms
# ρ = 3.72 g cm⁻³
# DFT total energy = -4.37 eV per atom

# RbTiSe2 | Alexandria | PBE | relaxed
data_RbTiSe2
_chemical_formula_sum 'Rb4 Ti4 Se8'
_symmetry_space_group_name_H-M 'C 1 2/m 1'
_symmetry_Int_Tables_number 12
_cell_length_a 17.520
_cell_length_b 4.190
_cell_length_c 7.797
_cell_angle_alpha 90.00
_cell_angle_beta 116.36
_cell_angle_gamma 90.00
loop_
_symmetry_equiv_pos_as_xyz
'x,y,z'
'-x,-y,-z'
'-x,y,-z'
'x,-y,z'
'x+1/2,y+1/2,z'
'-x+1/2,-y+1/2,-z'
'-x+1/2,y+1/2,-z'
'x+1/2,-y+1/2,z'
loop_
_atom_site_label
_atom_site_type_symbol
_atom_site_fract_x
_atom_site_fract_y
_atom_site_fract_z
Rb1 Rb 0.141 0.000 0.140
Ti1 Ti 0.087 0.500 0.587
Se1 Se 0.000 0.500 0.238
Se2 Se 0.174 0.000 0.675
# DOS at the Fermi energy = 1.57 states/eV/f.u.
# Energy relative to the elements, uncorrected = -111.57 kJ per mole of atoms
# ρ = 3.77 g cm⁻³
# DFT total energy = -5.11 eV per atom

# Rb6TiSe4 | Alexandria | PBE | relaxed
data_Rb6TiSe4
_chemical_formula_sum 'Rb12 Ti2 Se8'
_symmetry_space_group_name_H-M 'P 63 m c'
_symmetry_Int_Tables_number 186
_symmetry_space_group_name_Hall 'P 6c -2c'
_cell_length_a 10.9352
_cell_length_b 10.9352
_cell_length_c 8.3374
_cell_angle_alpha 90.00
_cell_angle_beta 90.00
_cell_angle_gamma 120.00
loop_
_atom_site_label
_atom_site_type_symbol
_atom_site_fract_x
_atom_site_fract_y
_atom_site_fract_z
Rb1 Rb 0.0612 0.5306 0.0000
Rb2 Rb 0.1357 0.2713 0.3171
Ti1 Ti 0.3333 0.6667 0.6051
Se1 Se 0.2074 0.4148 0.7034
Se2 Se 0.3333 0.6667 0.3022
# DOS at the Fermi energy = 6.99 states/eV/f.u.
# Energy relative to the elements, uncorrected = -99.97 kJ per mole of atoms
# ρ = 3.37 g cm⁻³
# DFT total energy = -3.55 eV per atom

# RbTiSe4 | Alexandria | PBE | relaxed
data_RbTiSe4
_chemical_formula_sum 'Rb4 Ti4 Se16'
_symmetry_space_group_name_H-M 'C 1 2/c 1'
_symmetry_Int_Tables_number 15
_cell_length_a 8.156
_cell_length_b 14.599
_cell_length_c 6.543
_cell_angle_alpha 90.00
_cell_angle_beta 112.60
_cell_angle_gamma 90.00
loop_
_symmetry_equiv_pos_as_xyz
'x,y,z'
'-x,-y,-z'
'-x,y,-z+1/2'
'x,-y,z+1/2'
'x+1/2,y+1/2,z'
'-x+1/2,-y+1/2,-z'
'-x+1/2,y+1/2,-z+1/2'
'x+1/2,-y+1/2,z+1/2'
loop_
_atom_site_label
_atom_site_type_symbol
_atom_site_fract_x
_atom_site_fract_y
_atom_site_fract_z
Rb1 Rb 0.000 0.144 0.250
Ti1 Ti 0.000 0.500 0.250
Se1 Se 0.051 0.362 0.525
Se2 Se 0.250 0.078 0.878
# Energy above the most stable polymorph in this dataset = 0.10 eV/f.u.
# DOS at the Fermi energy = 3.74 states/eV/f.u.
# Energy relative to the elements, uncorrected = -75.92 kJ per mole of atoms
# ρ = 4.15 g cm⁻³
# DFT total energy = -4.59 eV per atom

# RbTiSe3 | Alexandria | PBE | relaxed
data_RbTiSe3
_chemical_formula_sum 'Rb2 Ti2 Se6'
_symmetry_space_group_name_H-M 'P -1'
_symmetry_Int_Tables_number 2
_cell_length_a 4.850
_cell_length_b 8.386
_cell_length_c 9.074
_cell_angle_alpha 100.87
_cell_angle_beta 90.29
_cell_angle_gamma 106.68
loop_
_symmetry_equiv_pos_as_xyz
'x,y,z'
'-x,-y,-z'
loop_
_atom_site_label
_atom_site_type_symbol
_atom_site_fract_x
_atom_site_fract_y
_atom_site_fract_z
Rb1 Rb 0.122 0.242 0.347
Ti1 Ti 0.331 0.671 0.116
Se1 Se 0.180 0.354 0.988
Se2 Se 0.344 0.695 0.372
Se3 Se 0.493 0.986 0.129
# Energy above the most stable polymorph in this dataset = 0.00 eV/f.u.
# Energy relative to the elements, uncorrected = -98.74 kJ per mole of atoms
# ρ = 3.55 g cm⁻³
# DFT total energy = -4.89 eV per atom

# RbTi4Se8 | Alexandria | PBE | relaxed
data_RbTi4Se8
_chemical_formula_sum 'Rb2 Ti8 Se16'
_symmetry_space_group_name_H-M 'C 1 2/m 1'
_symmetry_Int_Tables_number 12
_cell_length_a 17.878
_cell_length_b 3.604
_cell_length_c 12.457
_cell_angle_alpha 90.00
_cell_angle_beta 130.20
_cell_angle_gamma 90.00
loop_
_symmetry_equiv_pos_as_xyz
'x,y,z'
'-x,-y,-z'
'-x,y,-z'
'x,-y,z'
'x+1/2,y+1/2,z'
'-x+1/2,-y+1/2,-z'
'-x+1/2,y+1/2,-z'
'x+1/2,-y+1/2,z'
loop_
_atom_site_label
_atom_site_type_symbol
_atom_site_fract_x
_atom_site_fract_y
_atom_site_fract_z
Rb1 Rb 0.000 0.000 0.000
Ti1 Ti 0.156 0.000 0.480
Ti2 Ti 0.166 0.500 0.840
Se1 Se 0.038 0.000 0.735
Se2 Se 0.133 0.500 0.598
Se3 Se 0.160 0.500 0.333
Se4 Se 0.202 0.500 0.073
# Energy above the most stable polymorph in this dataset = 0.00 eV/f.u.
# DOS at the Fermi energy = 5.15 states/eV/f.u.
# Energy relative to the elements, uncorrected = -109.60 kJ per mole of atoms
# ρ = 4.92 g cm⁻³
# DFT total energy = -5.78 eV per atom

# Rb3Tm3TiSe8 | Alexandria | PBE | relaxed
data_Rb3Tm3TiSe8
_chemical_formula_sum 'Rb9 Tm9 Ti3 Se24'
_symmetry_space_group_name_H-M 'R -3 m'
_symmetry_Int_Tables_number 166
_symmetry_space_group_name_Hall '-R 3 2"'
_cell_length_a 8.1056
_cell_length_b 8.1056
_cell_length_c 24.5067
_cell_angle_alpha 90.00
_cell_angle_beta 90.00
_cell_angle_gamma 120.00
loop_
_atom_site_label
_atom_site_type_symbol
_atom_site_fract_x
_atom_site_fract_y
_atom_site_fract_z
Rb1 Rb 0.0000 0.5000 0.0000
Tm1 Tm 0.0000 0.5000 0.5000
Ti1 Ti 0.0000 0.0000 0.5000
Se1 Se 0.0000 0.0000 0.2314
Se2 Se 0.0220 0.5110 0.2277
# Energy relative to the elements, uncorrected = -152.41 kJ per mole of atoms
# ρ = 5.15 g cm⁻³
# DFT total energy = -5.05 eV per atom

# RbTmTiSe4 | Alexandria | PBE | relaxed
data_RbTmTiSe4
_chemical_formula_sum 'Rb2 Tm2 Ti2 Se8'
_symmetry_space_group_name_H-M 'P 1 21/m 1'
_symmetry_Int_Tables_number 11
_cell_length_a 6.786
_cell_length_b 7.109
_cell_length_c 9.522
_cell_angle_alpha 90.00
_cell_angle_beta 108.74
_cell_angle_gamma 90.00
loop_
_symmetry_equiv_pos_as_xyz
'x,y,z'
'-x,-y,-z'
'-x,y+1/2,-z'
'x,-y+1/2,z'
loop_
_atom_site_label
_atom_site_type_symbol
_atom_site_fract_x
_atom_site_fract_y
_atom_site_fract_z
Rb1 Rb 0.246 0.250 0.444
Tm1 Tm 0.292 0.250 0.956
Ti1 Ti 0.261 0.750 0.162
Se1 Se 0.040 0.750 0.917
Se2 Se 0.054 0.750 0.320
Se3 Se 0.489 0.505 0.801
# Energy relative to the elements, uncorrected = -136.39 kJ per mole of atoms
# ρ = 4.72 g cm⁻³
# DFT total energy = -5.31 eV per atom

# Rb3Tm2TiSe6 | Alexandria | PBE | relaxed
data_Rb3Tm2TiSe6
_chemical_formula_sum 'Rb6 Tm4 Ti2 Se12'
_symmetry_space_group_name_H-M 'C 1 2/m 1'
_symmetry_Int_Tables_number 12
_cell_length_a 7.105
_cell_length_b 12.304
_cell_length_c 8.297
_cell_angle_alpha 90.00
_cell_angle_beta 106.63
_cell_angle_gamma 90.00
loop_
_symmetry_equiv_pos_as_xyz
'x,y,z'
'-x,-y,-z'
'-x,y,-z'
'x,-y,z'
'x+1/2,y+1/2,z'
'-x+1/2,-y+1/2,-z'
'-x+1/2,y+1/2,-z'
'x+1/2,-y+1/2,z'
loop_
_atom_site_label
_atom_site_type_symbol
_atom_site_fract_x
_atom_site_fract_y
_atom_site_fract_z
Rb1 Rb 0.000 0.000 0.000
Rb2 Rb 0.000 0.330 0.000
Tm1 Tm 0.000 0.166 0.500
Ti1 Ti 0.000 0.500 0.500
Se1 Se 0.221 0.341 0.688
Se2 Se 0.246 0.000 0.690
# DOS at the Fermi energy = 5.45 states/eV/f.u.
# Energy relative to the elements, uncorrected = -145.10 kJ per mole of atoms
# ρ = 5.33 g cm⁻³
# DFT total energy = -4.89 eV per atom

# Rb4Tm3TiSe8 | Alexandria | PBE | relaxed
data_Rb4Tm3TiSe8
_chemical_formula_sum 'Rb12 Tm9 Ti3 Se24'
_symmetry_space_group_name_H-M 'R -3 m'
_symmetry_Int_Tables_number 166
_symmetry_space_group_name_Hall '-R 3 2"'
_cell_length_a 8.2495
_cell_length_b 8.2495
_cell_length_c 23.8747
_cell_angle_alpha 90.00
_cell_angle_beta 90.00
_cell_angle_gamma 120.00
loop_
_atom_site_label
_atom_site_type_symbol
_atom_site_fract_x
_atom_site_fract_y
_atom_site_fract_z
Rb1 Rb 0.0000 0.0000 0.0000
Rb2 Rb 0.0000 0.5000 0.0000
Tm1 Tm 0.0000 0.5000 0.5000
Ti1 Ti 0.0000 0.0000 0.5000
Se1 Se 0.0000 0.0000 0.2318
Se2 Se 0.0145 0.5073 0.2295
# DOS at the Fermi energy = 5.31 states/eV/f.u.
# Energy relative to the elements, uncorrected = -150.13 kJ per mole of atoms
# ρ = 5.41 g cm⁻³
# DFT total energy = -4.87 eV per atom

# RbUTiSe4 | Alexandria | PBE | relaxed
data_RbUTiSe4
_chemical_formula_sum 'Rb2 U2 Ti2 Se8'
_symmetry_space_group_name_H-M 'P 1 21/m 1'
_symmetry_Int_Tables_number 11
_cell_length_a 6.833
_cell_length_b 6.963
_cell_length_c 9.618
_cell_angle_alpha 90.00
_cell_angle_beta 108.86
_cell_angle_gamma 90.00
loop_
_symmetry_equiv_pos_as_xyz
'x,y,z'
'-x,-y,-z'
'-x,y+1/2,-z'
'x,-y+1/2,z'
loop_
_atom_site_label
_atom_site_type_symbol
_atom_site_fract_x
_atom_site_fract_y
_atom_site_fract_z
Rb1 Rb 0.237 0.250 0.441
U1 U 0.282 0.250 0.951
Ti1 Ti 0.271 0.750 0.166
Se1 Se 0.052 0.750 0.918
Se2 Se 0.064 0.750 0.325
Se3 Se 0.481 0.511 0.796
# DOS at the Fermi energy = 7.46 states/eV/f.u.
# Energy relative to the elements, uncorrected = -111.99 kJ per mole of atoms
# ρ = 5.27 g cm⁻³
# DFT total energy = -6.03 eV per atom

# RbUTiSe3 | Alexandria | PBE | relaxed
data_RbUTiSe3
_chemical_formula_sum 'Rb2 U2 Ti2 Se6'
_symmetry_space_group_name_H-M 'P 1 21/m 1'
_symmetry_Int_Tables_number 11
_cell_length_a 9.538
_cell_length_b 4.100
_cell_length_c 10.063
_cell_angle_alpha 90.00
_cell_angle_beta 111.62
_cell_angle_gamma 90.00
loop_
_symmetry_equiv_pos_as_xyz
'x,y,z'
'-x,-y,-z'
'-x,y+1/2,-z'
'x,-y+1/2,z'
loop_
_atom_site_label
_atom_site_type_symbol
_atom_site_fract_x
_atom_site_fract_y
_atom_site_fract_z
Rb1 Rb 0.209 0.250 0.237
U1 U 0.331 0.750 0.854
Ti1 Ti 0.085 0.250 0.605
Se1 Se 0.119 0.250 0.865
Se2 Se 0.203 0.750 0.534
Se3 Se 0.463 0.750 0.161
# DOS at the Fermi energy = 4.60 states/eV/f.u.
# Energy relative to the elements, uncorrected = -107.45 kJ per mole of atoms
# ρ = 5.52 g cm⁻³
# DFT total energy = -6.21 eV per atom

# Rb4U3TiSe8 | Alexandria | PBE | relaxed
data_Rb4U3TiSe8
_chemical_formula_sum 'Rb12 U9 Ti3 Se24'
_symmetry_space_group_name_H-M 'R -3 m'
_symmetry_Int_Tables_number 166
_symmetry_space_group_name_Hall '-R 3 2"'
_cell_length_a 8.3131
_cell_length_b 8.3131
_cell_length_c 24.1968
_cell_angle_alpha 90.00
_cell_angle_beta 90.00
_cell_angle_gamma 120.00
loop_
_atom_site_label
_atom_site_type_symbol
_atom_site_fract_x
_atom_site_fract_y
_atom_site_fract_z
Rb1 Rb 0.0000 0.0000 0.0000
Rb2 Rb 0.0000 0.5000 0.0000
U1 U 0.0000 0.5000 0.5000
Ti1 Ti 0.0000 0.0000 0.5000
Se1 Se 0.0000 0.0000 0.2340
Se2 Se 0.0141 0.5070 0.2309
# DOS at the Fermi energy = 14.68 states/eV/f.u.
# Energy relative to the elements, uncorrected = -115.02 kJ per mole of atoms
# ρ = 5.97 g cm⁻³
# DFT total energy = -5.79 eV per atom

# Rb3Ti3VSe8 | Alexandria | PBE | relaxed
data_Rb3Ti3VSe8
_chemical_formula_sum 'Rb9 Ti9 V3 Se24'
_symmetry_space_group_name_H-M 'R -3 m'
_symmetry_Int_Tables_number 166
_symmetry_space_group_name_Hall '-R 3 2"'
_cell_length_a 7.4899
_cell_length_b 7.4899
_cell_length_c 24.4092
_cell_angle_alpha 90.00
_cell_angle_beta 90.00
_cell_angle_gamma 120.00
loop_
_atom_site_label
_atom_site_type_symbol
_atom_site_fract_x
_atom_site_fract_y
_atom_site_fract_z
Rb1 Rb 0.0000 0.5000 0.0000
Ti1 Ti 0.0000 0.5000 0.5000
V1 V 0.0000 0.0000 0.5000
Se1 Se 0.0000 0.0000 0.2274
Se2 Se 0.0026 0.5013 0.7732
# DOS at the Fermi energy = 4.56 states/eV/f.u.
# Energy relative to the elements, uncorrected = -107.07 kJ per mole of atoms
# ρ = 4.55 g cm⁻³
# DFT total energy = -5.35 eV per atom